VASP calculation (PBE-GGA) on a relaxed structure of BaBeRe3.

Cell: 4.485 4.485 4.485 Å, 90.00 90.00 90.00°
Atoms (fractional coordinates):
Ba 0.000 0.000 0.000
Be 0.500 0.500 0.500
Re 0.000 0.500 0.500
Re 0.500 0.000 0.500
Re 0.500 0.500 0.000

Calculated values
- Excess energy over the best structure of this formula in the dataset: 0 meV/atom
- Density of states at the Fermi level: 7.81 states/eV/f.u.

***

VASP calculation (PBE-GGA) on a relaxed structure of Rb2CaCd3Bi4.

Cell: 5.331 5.331 12.568 Å, 90.00 90.00 90.00°
Atoms (fractional coordinates):
Rb 0.000 0.500 0.236
Rb 0.500 0.000 0.764
Ca 0.000 0.000 0.500
Cd 0.000 0.500 0.875
Cd 0.500 0.000 0.125
Cd 0.500 0.500 0.500
Bi 0.000 0.000 0.000
Bi 0.000 0.500 0.636
Bi 0.500 0.000 0.364
Bi 0.500 0.500 0.000

Calculated values
- E: -2.572 eV per atom
- Density of states at the Fermi level: 1.75 states/eV/f.u.

***

VASP calculation (PBE-GGA) on a relaxed structure of Ho3Ir2Pd2.

Cell: 8.156 4.720 7.656 Å, 90.00 111.20 90.00°
Atoms (fractional coordinates):
Ho 0.000 0.000 0.000
Ho 0.072 0.500 0.721
Ho 0.428 0.000 0.279
Ho 0.500 0.500 0.000
Ho 0.572 0.000 0.721
Ho 0.928 0.500 0.279
Ir 0.212 0.500 0.135
Ir 0.288 0.000 0.865
Ir 0.712 0.000 0.135
Ir 0.788 0.500 0.865
Pd 0.152 0.000 0.457
Pd 0.348 0.500 0.543
Pd 0.652 0.500 0.457
Pd 0.848 0.000 0.543

Calculated values
- E: -6.737 eV per atom
- Density of states at the Fermi level: 2.60 states/eV/f.u.

***

VASP calculation (PBE-GGA) on a relaxed structure of FeNiAu2.

Cell: 4.391 4.391 3.101 Å, 90.00 90.00 90.00°
Atoms (fractional coordinates):
Fe 0.000 0.000 0.000
Ni 0.500 0.500 0.000
Au 0.000 0.500 0.500
Au 0.500 0.000 0.500

Calculated values
- Excess energy over the best structure of this formula in the dataset: 108 meV/atom
- Density of states at the Fermi level: 4.26 states/eV/f.u.

***

VASP calculation (PBE-GGA) on a relaxed structure of NaCd10Ag2.

Cell: 9.946 7.711 7.569 Å, 81.21 50.01 48.77°
Atoms (fractional coordinates):
Na 0.000 0.000 0.000
Cd 0.000 0.500 0.000
Cd 0.008 0.654 0.346
Cd 0.284 0.504 0.496
Cd 0.346 0.992 0.008
Cd 0.496 0.716 0.284
Cd 0.500 0.000 0.500
Cd 0.504 0.284 0.716
Cd 0.654 0.008 0.992
Cd 0.716 0.496 0.504
Cd 0.992 0.346 0.654
Ag 0.000 0.000 0.500
Ag 0.500 0.500 0.000

Calculated values
- E: -1.280 eV per atom
- Density of states at the Fermi level: 5.07 states/eV/f.u.

***

VASP calculation (PBE-GGA) on a relaxed structure of LiTa2Sb2.

Cell: 7.709 7.709 3.518 Å, 90.00 90.00 90.00°
Atoms (fractional coordinates):
Li 0.000 0.000 0.000
Li 0.500 0.500 0.000
Ta 0.131 0.369 0.500
Ta 0.369 0.869 0.500
Ta 0.631 0.131 0.500
Ta 0.869 0.631 0.500
Sb 0.159 0.659 0.000
Sb 0.341 0.159 0.000
Sb 0.659 0.841 0.000
Sb 0.841 0.341 0.000

Calculated values
- Density of states at the Fermi level: 4.93 states/eV/f.u.
- ΔE_f (raw): 0.088 eV per atom

***

VASP calculation (PBE-GGA) on a relaxed structure of VNi5Pt.

Cell: 6.138 6.138 6.138 Å, 110.64 103.90 114.03°
Atoms (fractional coordinates):
V 0.500 0.000 0.000
V 0.500 0.500 0.500
Ni 0.000 0.247 0.247
Ni 0.000 0.753 0.753
Ni 0.222 0.972 0.250
Ni 0.263 0.243 0.020
Ni 0.277 0.757 0.520
Ni 0.500 0.247 0.747
Ni 0.500 0.753 0.253
Ni 0.723 0.243 0.480
Ni 0.737 0.757 0.980
Ni 0.778 0.028 0.750
Pt 0.212 0.462 0.750
Pt 0.788 0.538 0.250

Calculated values
- Excess energy over the best structure of this formula in the dataset: 0 meV/atom
- Density of states at the Fermi level: 8.51 states/eV/f.u.

***

VASP calculation (PBE-GGA) on a relaxed structure of YTmGe2.

Cell: 3.955 4.250 10.674 Å, 90.00 90.00 90.00°
Atoms (fractional coordinates):
Y 0.000 0.000 0.000
Y 0.000 0.500 0.500
Tm 0.500 0.000 0.724
Tm 0.500 0.500 0.224
Ge 0.000 0.000 0.275
Ge 0.000 0.500 0.775
Ge 0.500 0.000 0.448
Ge 0.500 0.500 0.948

Calculated values
- Excess energy over the best structure of this formula in the dataset: 0 meV/atom
- Density of states at the Fermi level: 2.59 states/eV/f.u.

***

VASP calculation (PBE-GGA) on a relaxed structure of NdDy3Y6Tm2.

Cell: 6.159 6.159 11.803 Å, 94.97 94.97 119.95°
Atoms (fractional coordinates):
Nd 0.000 0.000 0.000
Dy 0.167 0.833 0.500
Dy 0.500 0.500 0.500
Dy 0.833 0.167 0.500
Y 0.084 0.418 0.250
Y 0.250 0.250 0.750
Y 0.418 0.084 0.250
Y 0.582 0.916 0.750
Y 0.750 0.750 0.250
Y 0.916 0.582 0.750
Tm 0.333 0.667 0.000
Tm 0.667 0.333 0.000

Calculated values
- E: -5.503 eV per atom
- Density of states at the Fermi level: 16.80 states/eV/f.u.

***

VASP calculation (PBE-GGA) on a relaxed structure of GePd.

Cell: 5.859 3.543 6.368 Å, 90.00 90.00 90.00°
Atoms (fractional coordinates):
Ge 0.185 0.250 0.076
Ge 0.315 0.750 0.576
Ge 0.685 0.250 0.424
Ge 0.815 0.750 0.924
Pd 0.004 0.250 0.691
Pd 0.496 0.750 0.191
Pd 0.504 0.250 0.809
Pd 0.996 0.750 0.309

Calculated values
- E: -5.364 eV per atom
- Density of states at the Fermi level: 0.36 states/eV/f.u.

***

VASP calculation (PBE-GGA) on a relaxed structure of Sc3Te.

Cell: 6.842 9.222 6.103 Å, 90.00 90.00 90.00°
Atoms (fractional coordinates):
Sc 0.016 0.250 0.147
Sc 0.202 0.035 0.620
Sc 0.202 0.465 0.620
Sc 0.298 0.535 0.120
Sc 0.298 0.965 0.120
Sc 0.484 0.750 0.647
Sc 0.516 0.250 0.353
Sc 0.702 0.035 0.880
Sc 0.702 0.465 0.880
Sc 0.798 0.535 0.380
Sc 0.798 0.965 0.380
Sc 0.984 0.750 0.853
Te 0.116 0.750 0.398
Te 0.384 0.250 0.898
Te 0.616 0.750 0.102
Te 0.884 0.250 0.602

Calculated values
- Excess energy over the best structure of this formula in the dataset: 32 meV/atom
- Density of states at the Fermi level: 4.75 states/eV/f.u.
- ΔE_f (raw): -0.570 eV per atom

***

VASP calculation (PBE-GGA) on a relaxed structure of CaY5Rh6.

Cell: 8.395 8.395 4.850 Å, 106.73 106.73 119.85°
Atoms (fractional coordinates):
Ca 0.000 0.000 0.000
Y 0.163 0.837 0.500
Y 0.332 0.668 0.000
Y 0.500 0.500 0.500
Y 0.668 0.332 0.000
Y 0.837 0.163 0.500
Rh 0.085 0.425 0.255
Rh 0.260 0.260 0.760
Rh 0.425 0.085 0.255
Rh 0.575 0.915 0.745
Rh 0.740 0.740 0.240
Rh 0.915 0.575 0.745

Calculated values
- E: -7.314 eV per atom
- Density of states at the Fermi level: 5.08 states/eV/f.u.

***

VASP calculation (PBE-GGA) on a relaxed structure of LiPbCl4.

Cell: 7.603 6.322 7.833 Å, 90.00 120.01 90.00°
Atoms (fractional coordinates):
Li 0.000 0.000 0.000
Li 0.000 0.500 0.500
Pb 0.500 0.000 0.500
Pb 0.500 0.500 0.000
Cl 0.154 0.219 0.308
Cl 0.154 0.281 0.808
Cl 0.325 0.730 0.656
Cl 0.325 0.770 0.156
Cl 0.675 0.230 0.844
Cl 0.675 0.270 0.344
Cl 0.846 0.719 0.192
Cl 0.846 0.781 0.692

Calculated values
- Excess energy over the best structure of this formula in the dataset: 0 meV/atom
- Density of states at the Fermi level: 3.58 states/eV/f.u.
- ΔE_f (raw): -1.091 eV per atom

***

VASP calculation (PBE-GGA) on a relaxed structure of Li2Tm2ScPb2.

Cell: 8.991 8.991 8.991 Å, 30.79 30.79 30.79°
Atoms (fractional coordinates):
Li 0.106 0.106 0.106
Li 0.894 0.894 0.894
Tm 0.373 0.373 0.373
Tm 0.627 0.627 0.627
Sc 0.500 0.500 0.500
Pb 0.233 0.233 0.233
Pb 0.767 0.767 0.767

Calculated values
- E: -4.036 eV per atom
- Density of states at the Fermi level: 4.85 states/eV/f.u.

***

VASP calculation (PBE-GGA) on a relaxed structure of Dy2MgGe.

Cell: 4.789 4.789 4.158 Å, 90.00 90.00 90.00°
Atoms (fractional coordinates):
Dy 0.000 0.500 0.000
Dy 0.500 0.000 0.000
Mg 0.000 0.000 0.500
Ge 0.500 0.500 0.500

Calculated values
- E: -4.248 eV per atom
- Density of states at the Fermi level: 2.48 states/eV/f.u.

***

VASP calculation (PBE-GGA) on a relaxed structure of Si2AuO.

Cell: 4.660 4.660 11.472 Å, 90.00 90.00 90.00°
Atoms (fractional coordinates):
Si 0.138 0.250 0.125
Si 0.250 0.638 0.375
Si 0.250 0.862 0.875
Si 0.362 0.250 0.625
Si 0.638 0.750 0.625
Si 0.750 0.138 0.875
Si 0.750 0.362 0.375
Si 0.862 0.750 0.125
Au 0.000 0.000 0.500
Au 0.000 0.500 0.750
Au 0.500 0.000 0.250
Au 0.500 0.500 0.000
O 0.000 0.000 0.000
O 0.000 0.500 0.250
O 0.500 0.000 0.750
O 0.500 0.500 0.500

Calculated values
- Density of states at the Fermi level: 0.72 states/eV/f.u.
- ΔE_f (raw): -0.309 eV per atom

***

VASP calculation (PBE-GGA) on a relaxed structure of LiCeMgPt.

Cell: 6.847 6.847 6.847 Å, 90.00 90.00 90.00°
Atoms (fractional coordinates):
Li 0.000 0.000 0.000
Li 0.000 0.500 0.500
Li 0.500 0.000 0.500
Li 0.500 0.500 0.000
Ce 0.250 0.250 0.750
Ce 0.250 0.750 0.250
Ce 0.750 0.250 0.250
Ce 0.750 0.750 0.750
Mg 0.250 0.250 0.250
Mg 0.250 0.750 0.750
Mg 0.750 0.250 0.750
Mg 0.750 0.750 0.250
Pt 0.000 0.000 0.500
Pt 0.000 0.500 0.000
Pt 0.500 0.000 0.000
Pt 0.500 0.500 0.500

Calculated values
- E: -4.409 eV per atom
- Density of states at the Fermi level: 5.87 states/eV/f.u.

***

VASP calculation (PBE-GGA) on a relaxed structure of Na2ErTmTe4.

Cell: 7.600 4.392 7.985 Å, 90.00 108.55 90.00°
Atoms (fractional coordinates):
Na 0.000 0.000 0.000
Na 0.500 0.500 0.000
Er 0.000 0.500 0.500
Tm 0.500 0.000 0.500
Te 0.244 0.000 0.730
Te 0.258 0.500 0.271
Te 0.742 0.500 0.729
Te 0.756 0.000 0.270

Calculated values
- ΔE_f (raw): -1.298 eV per atom

***

VASP calculation (PBE-GGA) on a relaxed structure of Ba3YRh.

Cell: 6.084 6.084 6.084 Å, 90.00 90.00 90.00°
Atoms (fractional coordinates):
Ba 0.000 0.000 0.500
Ba 0.000 0.500 0.000
Ba 0.500 0.000 0.000
Y 0.500 0.500 0.500
Rh 0.000 0.000 0.000

Calculated values
- Excess energy over the best structure of this formula in the dataset: 0 meV/atom
- Density of states at the Fermi level: 0.57 states/eV/f.u.

***

VASP calculation (PBE-GGA) on a relaxed structure of La2Pm3Tm2.

Cell: 6.263 6.306 6.314 Å, 99.98 99.52 99.71°
Atoms (fractional coordinates):
La 0.076 0.142 0.287
La 0.924 0.858 0.713
Pm 0.214 0.431 0.856
Pm 0.500 0.000 0.000
Pm 0.786 0.569 0.144
Tm 0.361 0.714 0.427
Tm 0.639 0.286 0.573

Calculated values
- Excess energy over the best structure of this formula in the dataset: 0 meV/atom
- Density of states at the Fermi level: 11.10 states/eV/f.u.

***

VASP calculation (PBE-GGA) on a relaxed structure of Nb2HRh2.

Cell: 4.092 4.092 3.950 Å, 90.00 90.00 90.00°
Atoms (fractional coordinates):
Nb 0.000 0.500 0.000
Nb 0.500 0.000 0.000
H 0.000 0.000 0.000
Rh 0.000 0.000 0.500
Rh 0.500 0.500 0.500

Calculated values
- E: -8.003 eV per atom
- Density of states at the Fermi level: 2.88 states/eV/f.u.

***

VASP calculation (PBE-GGA) on a relaxed structure of HfTiInRe.

Cell: 6.628 6.628 6.628 Å, 90.00 90.00 90.00°
Atoms (fractional coordinates):
Hf 0.000 0.000 0.000
Hf 0.000 0.500 0.500
Hf 0.500 0.000 0.500
Hf 0.500 0.500 0.000
Ti 0.000 0.000 0.500
Ti 0.000 0.500 0.000
Ti 0.500 0.000 0.000
Ti 0.500 0.500 0.500
In 0.250 0.250 0.250
In 0.250 0.750 0.750
In 0.750 0.250 0.750
In 0.750 0.750 0.250
Re 0.250 0.250 0.750
Re 0.250 0.750 0.250
Re 0.750 0.250 0.250
Re 0.750 0.750 0.750

Calculated values
- E: -8.395 eV per atom
- Density of states at the Fermi level: 1.84 states/eV/f.u.

***

VASP calculation (PBE-GGA) on a relaxed structure of Tb3Sm3Co4.

Cell: 4.246 7.269 7.269 Å, 90.19 90.00 90.00°
Atoms (fractional coordinates):
Tb 0.000 0.000 0.000
Tb 0.500 0.324 0.825
Tb 0.500 0.825 0.324
Sm 0.000 0.151 0.499
Sm 0.000 0.499 0.151
Sm 0.000 0.653 0.653
Co 0.500 0.209 0.209
Co 0.500 0.429 0.429
Co 0.500 0.721 0.939
Co 0.500 0.939 0.721

Calculated values
- E: -5.735 eV per atom
- Density of states at the Fermi level: 6.55 states/eV/f.u.

***

VASP calculation (PBE-GGA) on a relaxed structure of Ta3FeSi.

Cell: 4.544 4.544 4.544 Å, 90.00 90.00 90.00°
Atoms (fractional coordinates):
Ta 0.000 0.000 0.500
Ta 0.000 0.500 0.000
Ta 0.500 0.000 0.000
Fe 0.000 0.000 0.000
Si 0.500 0.500 0.500

Calculated values
- Excess energy over the best structure of this formula in the dataset: 0 meV/atom
- Density of states at the Fermi level: 6.13 states/eV/f.u.
- ΔE_f (raw): 0.731 eV per atom